A plane-wave DFT calculation with PBE was carried out for a relaxed structure of Nb2TcSn.

CIF file:
```
data_Nb2TcSn
_cell_length_a 6.5744
_cell_length_b 6.5744
_cell_length_c 6.5744
_cell_angle_alpha 90.00
_cell_angle_beta 90.00
_cell_angle_gamma 90.00
_space_group_name_H-M_alt 'F -4 3 m'
_space_group_IT_number 216
_space_group_name_Hall 'F -4 2 3'
loop_
_atom_site_label
_atom_site_type_symbol
_atom_site_fract_x
_atom_site_fract_y
_atom_site_fract_z
Nb1 Nb 0.0000 0.0000 0.0000
Nb2 Nb 0.2500 0.2500 0.2500
Tc1 Tc 0.2500 0.2500 0.7500
Sn1 Sn 0.0000 0.0000 0.5000
```

Calculated values
- magnetic moment (μB per formula unit) = 0.02
- VASP energy (eV/cell) = -138.218

***

A plane-wave DFT calculation with PBE was carried out for a relaxed structure of NbSnTe.

CIF file:
```
data_NbSnTe
_cell_length_a 6.8146
_cell_length_b 6.8146
_cell_length_c 6.8146
_cell_angle_alpha 90.00
_cell_angle_beta 90.00
_cell_angle_gamma 90.00
_space_group_name_H-M_alt 'F -4 3 m'
_space_group_IT_number 216
_space_group_name_Hall 'F -4 2 3'
loop_
_atom_site_label
_atom_site_type_symbol
_atom_site_fract_x
_atom_site_fract_y
_atom_site_fract_z
Nb1 Nb 0.0000 0.0000 0.0000
Sn1 Sn 0.2500 0.2500 0.7500
Te1 Te 0.2500 0.2500 0.2500
```

Calculated values
- magnetic moment (μB per formula unit) = 0.86
- VASP energy (eV/cell) = -65.405